1.
GGA-PBE Mg4CdIr, optimized geometry; total moment = 0.00 μB per formula unit; uncorrected energy = -2.768 eV/atom; ΔE to the lowest computed polymorph = 108 meV per atom; ΔH_f (0 K) = -76 meV/atom; space-group type = No. 12
1.0
4.605 0.000 0.000
2.303 3.930 0.208
2.303 0.825 7.709
Ir Mg Cd
1 4 1
Cartesian
0.000 0.000 0.000
2.303 1.023 5.126
4.605 2.171 7.091
4.605 2.584 0.825
6.908 3.732 2.791
4.605 2.378 3.958

2.
GGA-PBE LiMoOs2, optimized geometry; total moment = 0.00 μB per formula unit; uncorrected energy = -8.404 eV/atom; ΔE to the lowest computed polymorph = 270 meV per atom; ΔH_f (0 K) = 397 meV/atom; space-group type = No. 47
1.0
2.772 0.000 0.000
0.000 4.556 0.000
0.000 0.000 4.505
Os Mo Li
2 1 1
Cartesian
0.000 0.000 0.000
1.386 2.278 0.000
0.000 2.278 2.252
1.386 0.000 2.252

3.
GGA-PBE DyZn3P3, optimized geometry; total moment = 0.00 μB per formula unit; uncorrected energy = -4.123 eV/atom; ΔH_f (0 K) = -601 meV/atom; space-group type = No. 194
1.0
-3.359 -2.130 0.434
3.525 -1.594 1.019
-2.118 7.094 18.419
Zn P Dy
6 6 2
Cartesian
0.443 0.865 7.672
-0.358 3.548 14.639
-2.911 4.233 16.687
-2.395 2.506 12.201
-1.594 -0.178 5.234
0.959 -0.863 3.186
-1.242 -1.357 2.171
-0.711 4.728 17.701
0.701 0.001 5.429
-2.653 3.370 14.444
-1.946 1.002 8.297
-0.006 2.368 11.576
0.000 0.000 0.000
-1.059 3.547 9.210

4.
GGA-PBE KCr2Te, optimized geometry; total moment = 9.19 μB per formula unit; uncorrected energy = -5.190 eV/atom; formation energy from raw total energies = 0.68 eV/atom; space-group type = No. 123
1.0
-1.991 -2.403 1.952
2.081 -2.759 -1.267
5.296 0.967 6.590
K Cr Te
1 2 1
Cartesian
1.369 -2.339 1.990
3.068 0.560 3.817
4.876 0.891 6.068
4.017 -1.856 5.285

5.
GGA-PBE SmSn3Rh5, optimized geometry; total moment = 0.00 μB per formula unit; uncorrected energy = -6.340 eV/atom; ΔH_f (0 K) = -397 meV/atom; space-group type = No. 63
1.0
4.025 0.000 0.000
-2.012 6.962 0.000
0.000 0.000 13.112
Rh Sn Sm
10 6 2
Cartesian
2.012 4.267 0.821
0.000 0.000 0.000
0.000 6.328 4.640
0.000 2.696 12.290
0.000 0.000 6.556
2.012 4.267 5.735
2.012 0.634 11.196
0.000 6.328 1.916
2.012 0.634 8.471
0.000 2.696 7.377
2.012 1.701 0.617
2.012 5.018 3.278
0.000 5.262 12.495
0.000 1.945 9.834
2.012 1.701 5.939
0.000 5.262 7.172
2.012 5.655 9.834
0.000 1.307 3.278